Entry 1:
SiGeP2Os: relaxed, PBE.

Properties
The energy relative to the elements, uncorrected is 1.162 eV/atom. The crystal system is tetragonal. The calculated volume comes out at 18.43 Å³/atom. The total DFT energy (no corrections) is -26.3 eV for the cell shown. Its symmetry is P4/mmm, No. 123.

a = 4.4953 Å, b = 4.5599 Å, c = 4.4953 Å
α = 90.00°, β = 90.00°, γ = 90.00°
Closest atoms and distances in Å follow each position.
Positions (direct):
1 P 0.0000 0.0000 0.5000  2 Si 2.25
2 P 0.5000 0.0000 0.0000  2 Si 2.25
3 Ge 0.5000 0.5000 0.5000  4 Os 3.18, 8 P 3.20
4 Os 0.0000 0.5000 0.0000  2 Si 2.28
5 Si 0.0000 0.0000 0.0000  4 P 2.25, 2 Os 2.28

Entry 2:
TcGePOs2: relaxed, PBE.

Properties
Its formation energy is 1613 meV/atom. The crystal system is tetragonal. The calculated volume comes out at 20.03 Å³/atom. The total DFT energy (no corrections) is -34.8 eV for the cell shown. Its symmetry is P4/mmm, No. 123.

a = 4.7582 Å, b = 4.4238 Å, c = 4.7582 Å
α = 90.00°, β = 90.00°, γ = 90.00°
Closest atoms and distances in Å follow each position.
Positions (direct):
1 P 0.0000 0.5000 0.0000  2 Tc 2.21
2 Ge 0.5000 0.5000 0.5000  8 Os 3.25, 4 P 3.36
3 Os 0.0000 0.0000 0.5000  2 Tc 2.38
4 Os 0.5000 0.0000 0.0000  2 Tc 2.38
5 Tc 0.0000 0.0000 0.0000  2 P 2.21, 4 Os 2.38

Entry 3:
Tl2GePOs: relaxed, PBE.

Properties
Its formation energy is 1491 meV/atom. The crystal system is tetragonal. The calculated volume comes out at 24.93 Å³/atom. The total DFT energy (no corrections) is -18.5 eV for the cell shown. Its symmetry is P4/mmm, No. 123.

a = 5.1450 Å, b = 4.7097 Å, c = 5.1450 Å
α = 90.00°, β = 90.00°, γ = 90.00°
Closest atoms and distances in Å follow each position.
Positions (direct):
1 P 0.0000 0.0000 0.0000  2 Ge 2.35, 4 Tl 2.57
2 Tl 0.0000 0.0000 0.5000  2 P 2.57
3 Tl 0.5000 0.0000 0.0000  2 P 2.57
4 Os 0.5000 0.5000 0.5000  8 Tl 3.49, 4 Ge 3.64
5 Ge 0.0000 0.5000 0.0000  2 P 2.35